P:
Entry from Alexandria via LeMat-Bulk: crystalline SmEr2Tm9 at its relaxed geometry (GGA-PBE).

**Symmetry**: No. 123
**DOS at the Fermi energy**: 1.447 states/eV/atom
**ρ**: 9.1 g/cm3

Lattice parameters (Å, degrees): 4.9533 4.9533 14.8607 90.00 90.00 90.00
Closest atoms and distances in Å follow each position.
Sites, in units of the cell vectors:
Sm 0.0000 0.0000 0.0000  12 Tm 3.50-3.52
Er 0.0000 0.0000 0.3339  12 Tm 3.49-3.50
Er 0.0000 0.0000 0.6661  12 Tm 3.49-3.50
Tm 0.5000 0.5000 0.0000  4 Sm 3.50, 8 Tm 3.52
Tm 0.5000 0.5000 0.3346  8 Tm 3.49-3.50, 4 Er 3.50
Tm 0.5000 0.5000 0.6654  8 Tm 3.49-3.50, 4 Er 3.50
Tm 0.5000 0.0000 0.1684  2 Er 3.49, 8 Tm 3.50-3.52, 2 Sm 3.52
Tm 0.5000 0.0000 0.5000  8 Tm 3.49-3.50, 4 Er 3.50
Tm 0.5000 0.0000 0.8316  2 Er 3.49, 8 Tm 3.50-3.52, 2 Sm 3.52
Tm 0.0000 0.5000 0.1684  2 Er 3.49, 8 Tm 3.50-3.52, 2 Sm 3.52
Tm 0.0000 0.5000 0.5000  8 Tm 3.49-3.50, 4 Er 3.50
Tm 0.0000 0.5000 0.8316  2 Er 3.49, 8 Tm 3.50-3.52, 2 Sm 3.52

---

Q:
Entry from Alexandria via LeMat-Bulk: crystalline SmEr2Tm9 at its relaxed geometry (GGA-PBE).

**Symmetry**: No. 191
**DOS at the Fermi energy**: 1.435 states/eV/atom
**ρ**: 9.1 g/cm3

Lattice parameters (Å, degrees): 3.4708 11.0612 11.0612 120.00 90.00 90.00
Closest atoms and distances in Å follow each position.
Sites, in units of the cell vectors:
Sm 0.0000 0.0000 0.0000  2 Sm 3.47, 12 Tm 3.83
Er 0.0000 0.3333 0.6667  9 Tm 3.19-3.44, 2 Er 3.47
Er 0.0000 0.6667 0.3333  9 Tm 3.19-3.44, 2 Er 3.47
Tm 0.0000 0.0000 0.5000  2 Er 3.19, 10 Tm 3.47-3.54
Tm 0.0000 0.5000 0.5000  2 Er 3.19, 10 Tm 3.47-3.54
Tm 0.0000 0.5000 0.0000  2 Er 3.19, 10 Tm 3.47-3.54
Tm 0.5000 0.3566 0.1783  8 Tm 3.42-3.54, 2 Er 3.44
Tm 0.5000 0.1783 0.8217  8 Tm 3.42-3.54, 2 Er 3.44
Tm 0.5000 0.1783 0.3566  8 Tm 3.42-3.54, 2 Er 3.44
Tm 0.5000 0.8217 0.6434  8 Tm 3.42-3.54, 2 Er 3.44
Tm 0.5000 0.8217 0.1783  8 Tm 3.42-3.54, 2 Er 3.44
Tm 0.5000 0.6434 0.8217  8 Tm 3.42-3.54, 2 Er 3.44

---

Name the least stable of them. Q.

---

P:
Entry from Alexandria via LeMat-Bulk: crystalline Sm4ErTm at its relaxed geometry (GGA-PBE).

**Symmetry**: No. 2
**DOS at the Fermi energy**: 1.346 states/eV/atom
**ρ**: 8.0 g/cm3

Lattice parameters (Å, degrees): 3.5899 9.4733 8.0315 126.36 63.35 100.96
Closest atoms and distances in Å follow each position.
Sites, in units of the cell vectors:
Sm 0.8328 0.6698 0.5021  2 Tm 3.56-3.57, 2 Er 3.57, 8 Sm 3.59-3.62
Sm 0.1671 0.3302 0.4979  2 Tm 3.56-3.57, 2 Er 3.57, 8 Sm 3.59-3.62
Sm 0.3327 0.6698 0.0023  2 Er 3.56-3.57, 2 Tm 3.57, 8 Sm 3.59-3.62
Sm 0.6673 0.3302 0.9976  2 Er 3.56-3.57, 2 Tm 3.56-3.57, 8 Sm 3.59-3.62
Er 0.0000 0.0000 0.0000  8 Sm 3.56-3.57, 2 Tm 3.59, 2 Er 3.59
Tm 0.5000 0.0000 0.5000  8 Sm 3.56-3.57, 2 Er 3.59, 2 Tm 3.59

---

Q:
Entry from Alexandria via LeMat-Bulk: crystalline Sm4ErTm at its relaxed geometry (GGA-PBE).

**Symmetry**: No. 65
**DOS at the Fermi energy**: 1.566 states/eV/atom
**ρ**: 6.7 g/cm3

Lattice parameters (Å, degrees): 3.4473 8.2083 8.2082 90.00 90.00 90.00
Closest atoms and distances in Å follow each position.
Sites, in units of the cell vectors:
Sm 0.5000 0.2602 0.7398  1 Tm 3.02, 2 Er 3.27
Sm 0.0000 0.7611 0.7611  1 Er 3.03, 2 Tm 3.27
Sm 0.0000 0.2389 0.2389  1 Er 3.03, 2 Tm 3.27
Sm 0.5000 0.7398 0.2602  1 Tm 3.02, 2 Er 3.27
Er 0.0000 0.5000 0.5000  6 Sm 3.03-3.27
Tm 0.5000 0.0000 0.0000  6 Sm 3.02-3.27

---

Name the least stable of them. Q.

---

P:
Entry from Alexandria via LeMat-Bulk: crystalline Sm3Er5Tm4 at its relaxed geometry (GGA-PBE).

**Symmetry**: No. 12
**DOS at the Fermi energy**: 1.602 states/eV/atom
**ρ**: 8.5 g/cm3

Lattice parameters (Å, degrees): 5.8402 8.4429 9.5709 105.89 72.24 69.77
Closest atoms and distances in Å follow each position.
Sites, in units of the cell vectors:
Sm 0.5222 0.6858 0.2698  3 Er 3.03-3.22, 2 Tm 3.26-3.35
Sm 0.0000 0.5000 0.5000  2 Er 2.92
Sm 0.4778 0.3142 0.7302  3 Er 3.03-3.22, 2 Tm 3.26-3.35
Er 0.6230 0.9505 0.8036  2 Sm 3.22-3.47, 1 Er 3.32, 2 Tm 3.57
Er 0.5000 0.5000 0.5000  4 Sm 2.92-3.03
Er 0.2151 0.4578 0.1120  4 Sm 3.17-3.41, 3 Tm 3.39-3.50
Er 0.7849 0.5422 0.8880  4 Sm 3.17-3.41, 3 Tm 3.39-3.50
Er 0.3770 0.0495 0.1964  2 Sm 3.22-3.47, 1 Er 3.32, 2 Tm 3.57
Tm 0.8596 0.2214 0.0594  1 Tm 3.20, 1 Sm 3.35, 3 Er 3.39-3.50
Tm 0.1667 0.0428 0.6237  3 Sm 3.26-3.51, 3 Er 3.57-3.66, 3 Tm 3.57-3.61
Tm 0.8333 0.9572 0.3763  3 Sm 3.26-3.51, 3 Er 3.57-3.66, 3 Tm 3.57-3.61
Tm 0.1404 0.7786 0.9406  1 Tm 3.20, 1 Sm 3.35, 3 Er 3.39-3.50

---

Q:
Entry from Alexandria via LeMat-Bulk: crystalline Sm3Er5Tm4 at its relaxed geometry (GGA-PBE).

**Symmetry**: No. 2
**DOS at the Fermi energy**: 1.300 states/eV/atom
**ρ**: 8.8 g/cm3

Lattice parameters (Å, degrees): 7.0610 11.1550 12.7143 151.28 56.35 129.27
Closest atoms and distances in Å follow each position.
Sites, in units of the cell vectors:
Sm 0.5845 0.1678 0.3339  6 Tm 3.52-3.54, 5 Er 3.52-3.54, 1 Sm 3.53
Sm 0.0000 0.0000 0.5000  8 Er 3.52-3.54, 2 Sm 3.53, 2 Tm 3.54
Sm 0.4155 0.8322 0.6661  6 Tm 3.52-3.54, 5 Er 3.52-3.54, 1 Sm 3.53
Er 0.3332 0.6680 0.8347  3 Er 3.52-3.53, 4 Sm 3.52-3.54, 5 Tm 3.52-3.54
Er 0.5000 0.0000 0.5000  4 Er 3.52-3.53, 4 Tm 3.52-3.53, 4 Sm 3.53
Er 0.7489 0.5011 0.0010  6 Er 3.51-3.55, 3 Tm 3.52, 3 Sm 3.52-3.54
Er 0.2511 0.4989 0.9990  6 Er 3.51-3.55, 3 Tm 3.52, 3 Sm 3.52-3.54
Er 0.6668 0.3320 0.1653  3 Er 3.52-3.53, 4 Sm 3.52-3.54, 5 Tm 3.52-3.54
Tm 0.9176 0.8342 0.6678  3 Tm 3.51-3.54, 4 Sm 3.52-3.54, 5 Er 3.52-3.54
Tm 0.8332 0.6669 0.8337  4 Tm 3.51-3.54, 3 Sm 3.52-3.53, 5 Er 3.52-3.53
Tm 0.1668 0.3331 0.1663  4 Tm 3.51-3.54, 3 Sm 3.52-3.53, 5 Er 3.52-3.53
Tm 0.0824 0.1658 0.3322  3 Tm 3.51-3.54, 4 Sm 3.52-3.54, 5 Er 3.52-3.54

---

Name the least stable of them. P.

---

P:
Entry from Alexandria via LeMat-Bulk: crystalline SmEr9Tm2 at its relaxed geometry (GGA-PBE).

**Symmetry**: No. 123
**DOS at the Fermi energy**: 1.449 states/eV/atom
**ρ**: 9.0 g/cm3

Lattice parameters (Å, degrees): 4.9675 4.9675 14.9053 90.00 90.00 90.00
Closest atoms and distances in Å follow each position.
Sites, in units of the cell vectors:
Sm 0.0000 0.0000 0.0000  12 Er 3.51-3.53
Er 0.5000 0.5000 0.0000  4 Sm 3.51, 8 Er 3.53
Er 0.5000 0.5000 0.3348  8 Er 3.50-3.51, 4 Tm 3.51
Er 0.5000 0.5000 0.6652  8 Er 3.50-3.51, 4 Tm 3.51
Er 0.5000 0.0000 0.1686  2 Tm 3.50, 8 Er 3.51-3.53, 2 Sm 3.53
Er 0.5000 0.0000 0.5000  8 Er 3.50-3.51, 4 Tm 3.50
Er 0.5000 0.0000 0.8314  2 Tm 3.50, 8 Er 3.51-3.53, 2 Sm 3.53
Er 0.0000 0.5000 0.1686  2 Tm 3.50, 8 Er 3.51-3.53, 2 Sm 3.53
Er 0.0000 0.5000 0.5000  8 Er 3.50-3.51, 4 Tm 3.50
Er 0.0000 0.5000 0.8314  2 Tm 3.50, 8 Er 3.51-3.53, 2 Sm 3.53
Tm 0.0000 0.0000 0.3342  12 Er 3.50-3.51
Tm 0.0000 0.0000 0.6658  12 Er 3.50-3.51

---

Q:
Entry from Alexandria via LeMat-Bulk: crystalline SmEr9Tm2 at its relaxed geometry (GGA-PBE).

**Symmetry**: No. 191
**DOS at the Fermi energy**: 1.403 states/eV/atom
**ρ**: 8.9 g/cm3

Lattice parameters (Å, degrees): 3.4769 11.0977 11.0977 120.00 90.00 90.00
Closest atoms and distances in Å follow each position.
Sites, in units of the cell vectors:
Sm 0.0000 0.0000 0.0000  2 Sm 3.48, 12 Er 3.84
Er 0.0000 0.0000 0.5000  2 Tm 3.20, 10 Er 3.48-3.55
Er 0.0000 0.5000 0.5000  2 Tm 3.20, 10 Er 3.48-3.55
Er 0.0000 0.5000 0.0000  2 Tm 3.20, 10 Er 3.48-3.55
Er 0.5000 0.3568 0.1784  8 Er 3.43-3.55, 2 Tm 3.45
Er 0.5000 0.1784 0.8216  8 Er 3.43-3.55, 2 Tm 3.45
Er 0.5000 0.1784 0.3568  8 Er 3.43-3.55, 2 Tm 3.45
Er 0.5000 0.8216 0.6432  8 Er 3.43-3.55, 2 Tm 3.45
Er 0.5000 0.8216 0.1784  8 Er 3.43-3.55, 2 Tm 3.45
Er 0.5000 0.6432 0.8216  8 Er 3.43-3.55, 2 Tm 3.45
Tm 0.0000 0.3333 0.6667  9 Er 3.20-3.45, 2 Tm 3.48
Tm 0.0000 0.6667 0.3333  9 Er 3.20-3.45, 2 Tm 3.48

---

Name the least stable of them. Q.